1.
The following is a PBE calculation of a relaxed structure of Mg2AsP2, from Alexandria via LeMat-Bulk.

Calculated values
**Space group**: P4/mbm, No. 127
**ΔE_f**: -15 kJ per mole of atoms
**Total magnetization**: 0.00 μB/cell
**DFT total energy**: -38.9 eV for the cell shown

Geometry as POSCAR:
```
Mg2AsP2
1.0
-1.366 -2.067 6.763
-2.483 -6.309 -2.430
3.244 -1.369 0.237
P As Mg
4 2 4
direct
0.334 0.834 0.000
0.834 0.666 0.000
0.666 0.166 0.000
0.166 0.334 0.000
0.000 0.000 0.000
0.500 0.500 0.000
0.143 0.643 0.500
0.643 0.857 0.500
0.857 0.357 0.500
0.357 0.143 0.500
```

2.
The following is a PBE calculation of a relaxed structure of MgAsP2, from Alexandria via LeMat-Bulk.

Calculated values
**Space group**: Pmm2, No. 25
**ΔE_f**: -10 kJ per mole of atoms
**Total magnetization**: 0.00 μB/cell
**DFT total energy**: -17.5 eV for the cell shown

Geometry as POSCAR:
```
MgAsP2
1.0
3.704 0.000 0.000
0.000 3.501 0.000
0.000 0.000 6.063
As Mg P
1 1 2
direct
0.000 0.000 0.316
0.500 0.500 0.841
0.000 0.000 0.936
0.500 0.500 0.407
```

3.
The following is a PBE calculation of a relaxed structure of MgAsP2, from Alexandria via LeMat-Bulk.

Calculated values
**Space group**: I-42d, No. 122
**ΔE_f**: -2 kJ per mole of atoms
**Total magnetization**: 0.00 μB/cell
**DFT total energy**: -34.3 eV for the cell shown

Geometry as POSCAR:
```
MgAsP2
1.0
5.746 0.000 0.000
0.000 5.746 0.000
2.873 2.873 5.816
P As Mg
4 2 2
direct
0.644 0.125 0.250
0.106 0.625 0.250
0.375 0.356 0.750
0.875 0.894 0.750
0.000 0.000 0.000
0.750 0.250 0.500
0.500 0.500 0.000
0.250 0.750 0.500
```

4.
The following is a PBE calculation of a relaxed structure of Mg2AsP, from Alexandria via LeMat-Bulk.

Calculated values
**Space group**: C2/m, No. 12
**ΔE_f**: -31 kJ per mole of atoms
**Total magnetization**: 0.00 μB/cell
**DFT total energy**: -14.5 eV for the cell shown

Geometry as POSCAR:
```
Mg2AsP
1.0
3.999 0.054 -0.015
2.746 2.908 -0.015
1.439 0.632 6.680
As Mg P
1 2 1
direct
0.250 0.250 0.250
0.001 0.001 0.990
0.499 0.499 0.510
0.750 0.750 0.750
```

5.
The following is a PBE calculation of a relaxed structure of MgAs3P, from Alexandria via LeMat-Bulk.

Calculated values
**Space group**: Pm-3m, No. 221
**ΔE_f**: 47 kJ per mole of atoms
**Total magnetization**: 0.00 μB/cell
**DFT total energy**: -18.5 eV for the cell shown

Geometry as POSCAR:
```
MgAs3P
1.0
4.794 0.000 0.000
0.000 4.794 0.000
0.000 0.000 4.794
P As Mg
1 3 1
direct
0.000 0.000 0.000
0.000 0.500 0.000
0.000 0.000 0.500
0.500 0.000 0.000
0.500 0.500 0.500
```

6.
The following is a PBE calculation of a relaxed structure of Mg2AsP2, from Alexandria via LeMat-Bulk.

Calculated values
**Space group**: P4/mbm, No. 127
**ΔE_f**: 3 kJ per mole of atoms
**Total magnetization**: 0.00 μB/cell
**DFT total energy**: -37.0 eV for the cell shown

Geometry as POSCAR:
```
Mg2AsP2
1.0
-0.654 4.485 -6.482
-7.383 1.929 2.079
0.999 2.252 1.458
P As Mg
4 2 4
direct
0.155 0.655 0.500
0.655 0.845 0.500
0.845 0.345 0.500
0.345 0.155 0.500
0.000 0.000 0.000
0.500 0.500 0.000
0.355 0.855 0.000
0.855 0.645 0.000
0.645 0.145 0.000
0.145 0.355 0.000
```

7.
The following is a PBE calculation of a relaxed structure of Mg2AsP2, from Alexandria via LeMat-Bulk.

Calculated values
**Space group**: I4/mmm, No. 139
**ΔE_f**: -23 kJ per mole of atoms
**Total magnetization**: 0.00 μB/cell
**DFT total energy**: -19.8 eV for the cell shown

Geometry as POSCAR:
```
Mg2AsP2
1.0
3.471 0.000 0.000
0.000 3.471 0.000
1.735 1.735 7.519
P As Mg
2 1 2
direct
0.750 0.250 0.500
0.250 0.750 0.500
0.000 0.000 0.000
0.396 0.396 0.208
0.604 0.604 0.792
```

8.
The following is a PBE calculation of a relaxed structure of MgAsP2, from Alexandria via LeMat-Bulk.

Calculated values
**Space group**: C2/m, No. 12
**ΔE_f**: -15 kJ per mole of atoms
**Total magnetization**: 0.00 μB/cell
**DFT total energy**: -17.7 eV for the cell shown

Geometry as POSCAR:
```
MgAsP2
1.0
5.960 0.012 -0.043
5.069 3.135 -0.043
-1.861 -0.531 4.331
As Mg P
1 1 2
direct
0.750 0.750 0.750
0.250 0.250 0.250
0.999 0.999 0.092
0.501 0.501 0.408
```

9.
The following is a PBE calculation of a relaxed structure of MgAs2P, from Alexandria via LeMat-Bulk.

Calculated values
**Space group**: Fm-3m, No. 225
**ΔE_f**: 28 kJ per mole of atoms
**Total magnetization**: 0.00 μB/cell
**DFT total energy**: -15.2 eV for the cell shown

Geometry as POSCAR:
```
MgAs2P
1.0
0.000 3.332 3.332
3.332 0.000 3.332
3.332 3.332 0.000
P As Mg
1 2 1
direct
0.500 0.500 0.500
0.250 0.250 0.250
0.750 0.750 0.750
0.000 0.000 0.000
```

10.
The following is a PBE calculation of a relaxed structure of MgAsP2, from Alexandria via LeMat-Bulk.

Calculated values
**Space group**: Cmmm, No. 65
**ΔE_f**: 19 kJ per mole of atoms
**Total magnetization**: 0.00 μB/cell
**DFT total energy**: -16.3 eV for the cell shown

Geometry as POSCAR:
```
MgAsP2
1.0
-4.248 0.948 0.987
-0.233 -3.414 -2.866
0.121 -2.300 2.730
As Mg P
1 1 2
direct
0.500 0.000 0.500
0.000 0.500 0.500
0.000 0.000 0.000
0.500 0.500 0.000
```

11.
The following is a PBE calculation of a relaxed structure of MgAs2P2Pd7, from Alexandria via LeMat-Bulk.

Calculated values
**Space group**: C2/m, No. 12
**ΔE_f**: -36 kJ per mole of atoms
**Total magnetization**: 0.00 μB/cell
**DFT total energy**: -62.6 eV for the cell shown

Geometry as POSCAR:
```
MgAs2P2Pd7
1.0
-3.275 -2.057 -0.411
1.855 -3.269 1.001
-4.211 -1.767 13.788
Mg As P Pd
1 2 2 7
direct
0.000 0.000 0.000
0.685 0.685 0.425
0.315 0.315 0.575
0.687 0.687 0.755
0.313 0.313 0.245
0.500 0.500 0.000
0.197 0.197 0.410
0.803 0.803 0.590
0.884 0.384 0.152
0.384 0.884 0.152
0.616 0.116 0.848
0.116 0.616 0.848
```

12.
The following is a PBE calculation of a relaxed structure of MgAsPS2, from Alexandria via LeMat-Bulk.

Calculated values
**Space group**: P4/mmm, No. 123
**Total magnetization**: 0.01 μB/cell
**DFT total energy**: -18.0 eV for the cell shown

Geometry as POSCAR:
```
MgAsPS2
1.0
4.765 0.000 0.000
0.000 4.765 0.000
0.000 0.000 4.723
Mg P As S
1 1 1 2
direct
0.500 0.500 0.500
0.000 0.000 0.500
0.000 0.000 0.000
0.000 0.500 0.000
0.500 0.000 0.000
```

13.
The following is a PBE calculation of a relaxed structure of MgTaAs2P, from Alexandria via LeMat-Bulk.

Calculated values
**Space group**: P4/mmm, No. 123
**ΔE_f**: 63 kJ per mole of atoms
**Total magnetization**: 0.00 μB/cell
**DFT total energy**: -24.9 eV for the cell shown

Geometry as POSCAR:
```
MgTaAs2P
1.0
4.908 0.000 0.000
0.000 4.628 0.000
0.000 0.000 4.908
P As Mg Ta
1 2 1 1
direct
0.000 0.000 0.000
0.000 0.000 0.500
0.500 0.000 0.000
0.500 0.500 0.500
0.000 0.500 0.000
```

14.
The following is a PBE calculation of a relaxed structure of Mg2TlAsP, from Alexandria via LeMat-Bulk.

Calculated values
**Space group**: P4/mmm, No. 123
**ΔE_f**: 82 kJ per mole of atoms
**Total magnetization**: 0.00 μB/cell
**DFT total energy**: -11.4 eV for the cell shown

Geometry as POSCAR:
```
Mg2TlAsP
1.0
5.327 0.000 0.000
0.000 4.946 0.000
0.000 0.000 5.327
Mg P Tl As
2 1 1 1
direct
0.000 0.000 0.500
0.500 0.000 0.000
0.000 0.500 0.000
0.000 0.000 0.000
0.500 0.500 0.500
```

15.
The following is a PBE calculation of a relaxed structure of MgUAsP, from Alexandria via LeMat-Bulk.

Calculated values
**Space group**: R3m, No. 160
**ΔE_f**: -64 kJ per mole of atoms
**Total magnetization**: 2.00 μB/cell
**DFT total energy**: -25.6 eV for the cell shown

Geometry as POSCAR:
```
MgUAsP
1.0
-0.798 3.575 1.650
-1.582 0.202 3.687
4.945 1.407 4.233
Mg U As P
1 1 1 1
direct
0.503 0.503 0.491
0.996 0.996 0.013
0.751 0.751 0.746
0.250 0.250 0.250
```

16.
The following is a PBE calculation of a relaxed structure of MgPa3As4, from Alexandria via LeMat-Bulk.

Calculated values
**Space group**: P2/c, No. 13
**ΔE_f**: -86 kJ per mole of atoms
**Total magnetization**: 0.00 μB/cell
**DFT total energy**: -111.6 eV for the cell shown

Geometry as POSCAR:
```
MgPa3As4
1.0
-4.754 1.011 5.088
6.187 -1.696 2.863
2.016 7.889 0.317
Mg Pa As
2 6 8
direct
0.750 0.000 0.878
0.250 0.000 0.122
0.750 0.000 0.375
0.250 0.000 0.625
0.750 0.500 0.623
0.750 0.500 0.127
0.250 0.500 0.377
0.250 0.500 0.873
0.994 0.244 0.631
0.502 0.244 0.879
0.494 0.244 0.369
0.002 0.244 0.121
0.998 0.756 0.879
0.506 0.756 0.631
0.498 0.756 0.121
0.006 0.756 0.369
```

17.
The following is a PBE calculation of a relaxed structure of MgPaAs, from Alexandria via LeMat-Bulk.

Calculated values
**Space group**: Amm2, No. 38
**ΔE_f**: -17 kJ per mole of atoms
**Total magnetization**: 0.00 μB/cell
**DFT total energy**: -32.5 eV for the cell shown

Geometry as POSCAR:
```
MgPaAs
1.0
3.590 0.000 0.000
-1.795 2.690 0.000
0.000 0.000 14.142
As Pa Mg
2 2 2
direct
0.642 0.284 0.000
0.164 0.329 0.500
0.663 0.326 0.343
0.663 0.326 0.657
0.267 0.534 0.857
0.267 0.534 0.143
```

18.
The following is a PBE calculation of a relaxed structure of Sr4MgPa3As8, from Alexandria via LeMat-Bulk.

Calculated values
**Space group**: R-3m, No. 166
**ΔE_f**: -103 kJ per mole of atoms
**Total magnetization**: 0.91 μB/cell
**DFT total energy**: -91.2 eV for the cell shown

Geometry as POSCAR:
```
Sr4MgPa3As8
1.0
-0.119 -6.121 -5.885
8.610 -0.387 0.228
-4.421 -0.936 7.190
Sr Mg Pa As
4 1 3 8
direct
0.500 0.000 0.000
0.500 0.000 0.500
0.000 0.000 0.000
0.000 0.000 0.500
0.000 0.500 0.000
0.500 0.500 0.000
0.500 0.500 0.500
0.000 0.500 0.500
0.241 0.715 0.973
0.241 0.715 0.483
0.261 0.282 0.521
0.732 0.715 0.973
0.268 0.285 0.027
0.739 0.718 0.479
0.759 0.285 0.517
0.759 0.285 0.027
```

19.
The following is a PBE calculation of a relaxed structure of SrMgPaAs3, from Alexandria via LeMat-Bulk.

Calculated values
**Space group**: P2_1/m, No. 11
**ΔE_f**: -88 kJ per mole of atoms
**Total magnetization**: 0.00 μB/cell
**DFT total energy**: -64.4 eV for the cell shown

Geometry as POSCAR:
```
SrMgPaAs3
1.0
4.297 0.000 0.000
0.000 8.501 0.069
0.000 -2.183 9.084
Sr Mg Pa As
2 2 2 6
direct
0.250 0.201 0.235
0.750 0.799 0.765
0.250 0.091 0.595
0.750 0.909 0.405
0.250 0.679 0.154
0.750 0.321 0.846
0.750 0.893 0.125
0.250 0.107 0.875
0.250 0.764 0.474
0.750 0.236 0.526
0.750 0.457 0.158
0.250 0.543 0.842
```

20.
The following is a PBE calculation of a relaxed structure of MgAs4Pb, from Alexandria via LeMat-Bulk.

Calculated values
**Space group**: F-43m, No. 216
**ΔE_f**: 22 kJ per mole of atoms
**Total magnetization**: 0.00 μB/cell
**DFT total energy**: -22.6 eV for the cell shown

Geometry as POSCAR:
```
MgAs4Pb
1.0
0.000 4.067 4.067
4.067 0.000 4.067
4.067 4.067 0.000
Mg As Pb
1 4 1
direct
0.750 0.750 0.750
0.872 0.376 0.376
0.376 0.376 0.872
0.376 0.872 0.376
0.376 0.376 0.376
0.000 0.000 0.000
```

21.
The following is a PBE calculation of a relaxed structure of MgAsPb, from Alexandria via LeMat-Bulk.

Calculated values
**Space group**: Imm2, No. 44
**ΔE_f**: -10 kJ per mole of atoms
**Total magnetization**: 0.00 μB/cell
**DFT total energy**: -10.3 eV for the cell shown

Geometry as POSCAR:
```
MgAsPb
1.0
-2.853 4.896 3.027
-6.103 1.105 1.674
4.568 -4.510 -0.252
As Mg Pb
1 1 1
direct
0.943 0.943 0.000
0.373 0.373 0.000
0.683 0.683 0.000
```

22.
The following is a PBE calculation of a relaxed structure of Mg2As2Pb, from Alexandria via LeMat-Bulk.

Calculated values
**Space group**: I4/mmm, No. 139
**ΔE_f**: -27 kJ per mole of atoms
**Total magnetization**: 0.00 μB/cell
**DFT total energy**: -17.6 eV for the cell shown

Geometry as POSCAR:
```
Mg2As2Pb
1.0
4.293 0.000 0.000
0.000 4.293 0.000
2.146 2.146 6.537
Pb As Mg
1 2 2
direct
0.000 0.000 0.000
0.375 0.375 0.251
0.625 0.625 0.749
0.750 0.250 0.500
0.250 0.750 0.500
```

23.
The following is a PBE calculation of a relaxed structure of MgAsPb, from Alexandria via LeMat-Bulk.

Calculated values
**Space group**: F-43m, No. 216
**ΔE_f**: -5 kJ per mole of atoms
**Total magnetization**: 0.00 μB/cell
**DFT total energy**: -10.1 eV for the cell shown

Geometry as POSCAR:
```
MgAsPb
1.0
4.928 0.000 0.000
2.464 4.268 0.000
2.464 1.423 4.024
As Mg Pb
1 1 1
direct
0.750 0.750 0.750
0.000 0.000 0.000
0.500 0.500 0.500
```

24.
The following is a PBE calculation of a relaxed structure of MgAsPb, from Alexandria via LeMat-Bulk.

Calculated values
**Space group**: P3m1, No. 156
**ΔE_f**: -14 kJ per mole of atoms
**Total magnetization**: 0.00 μB/cell
**DFT total energy**: -10.4 eV for the cell shown

Geometry as POSCAR:
```
MgAsPb
1.0
-0.055 -1.165 4.066
-2.905 -1.516 -2.674
3.091 -3.985 -1.100
Pb As Mg
1 1 1
direct
0.333 0.667 0.701
0.000 0.000 0.048
0.667 0.333 0.251
```

25.
The following is a PBE calculation of a relaxed structure of MgAs3Pb, from Alexandria via LeMat-Bulk.

Calculated values
**Space group**: Pm-3m, No. 221
**ΔE_f**: 44 kJ per mole of atoms
**Total magnetization**: 0.00 μB/cell
**DFT total energy**: -17.0 eV for the cell shown

Geometry as POSCAR:
```
MgAs3Pb
1.0
-1.683 -2.841 3.818
-0.309 -3.976 -3.095
4.749 -1.266 1.152
Pb As Mg
1 3 1
direct
0.500 0.500 0.500
0.000 0.500 0.000
0.000 0.000 0.500
0.500 0.000 0.000
0.000 0.000 0.000
```

26.
The following is a PBE calculation of a relaxed structure of Mg2As2Pb, from Alexandria via LeMat-Bulk.

Calculated values
**Space group**: P4/mbm, No. 127
**ΔE_f**: -25 kJ per mole of atoms
**Total magnetization**: 0.00 μB/cell
**DFT total energy**: -34.9 eV for the cell shown

Geometry as POSCAR:
```
Mg2As2Pb
1.0
8.236 0.000 0.000
0.000 8.236 0.000
0.000 0.000 3.303
Pb As Mg
2 4 4
direct
0.000 0.000 0.000
0.500 0.500 0.000
0.342 0.842 0.000
0.842 0.658 0.000
0.658 0.158 0.000
0.158 0.342 0.000
0.138 0.638 0.500
0.638 0.862 0.500
0.862 0.362 0.500
0.362 0.138 0.500
```